Entry one
A plane-wave DFT calculation with PBE-GGA was carried out for a relaxed structure of ScAsIrSe2.

Cell: 5.108 5.108 4.552 Å, 90.00 90.00 90.00°
Atoms (fractional coordinates):
Sc  0.000  0.000  0.000
As  0.500  0.500  0.000
Ir  0.500  0.500  0.500
Se  0.000  0.500  0.500
Se  0.500  0.000  0.500

Computed properties:
SG   P4/mmm



Entry two
A plane-wave DFT calculation with PBE-GGA was carried out for a relaxed structure of ScAsIrSe2.

Cell: 4.959 4.959 5.061 Å, 90.00 90.00 90.00°
Atoms (fractional coordinates):
Sc  0.000  0.000  0.000
As  0.000  0.000  0.500
Ir  0.500  0.500  0.500
Se  0.000  0.500  0.000
Se  0.500  0.000  0.000

Computed properties:
SG   P4/mmm



entry one (674 meV/atom below the next structure)



Entry one
A plane-wave DFT calculation with PBE-GGA was carried out for a relaxed structure of AsIrSe4.

Cell: 7.409 6.866 6.201 Å, 90.00 118.02 90.00°
Atoms (fractional coordinates):
As  0.000  0.000  0.000
As  0.500  0.500  0.000
Ir  0.000  0.662  0.500
Ir  0.500  0.162  0.500
Se  0.175  0.664  0.948
Se  0.192  0.992  0.475
Se  0.308  0.492  0.525
Se  0.325  0.164  0.052
Se  0.675  0.164  0.948
Se  0.692  0.492  0.475
Se  0.808  0.992  0.525
Se  0.825  0.664  0.052

Computed properties:
SG   C2



Entry two
A plane-wave DFT calculation with PBE-GGA was carried out for a relaxed structure of AsIrSe4.

Cell: 5.538 5.538 5.538 Å, 60.00 60.00 60.00°
Atoms (fractional coordinates):
As  0.000  0.000  0.000
Ir  0.750  0.750  0.750
Se  0.377  0.377  0.377
Se  0.377  0.377  0.869
Se  0.377  0.869  0.377
Se  0.869  0.377  0.377

Computed properties:
SG   F-43m



entry one (1181 meV/atom below the next structure)



Entry one
A plane-wave DFT calculation with PBE-GGA was carried out for a relaxed structure of As3IrSe.

Cell: 4.829 4.829 4.829 Å, 90.00 90.00 90.00°
Atoms (fractional coordinates):
As  0.000  0.000  0.500
As  0.000  0.500  0.000
As  0.500  0.000  0.000
Ir  0.500  0.500  0.500
Se  0.000  0.000  0.000

Computed properties:
SG   Pm-3m



Entry two
A plane-wave DFT calculation with PBE-GGA was carried out for a relaxed structure of As3IrSe.

Cell: 4.858 4.858 4.858 Å, 90.00 90.00 90.00°
Atoms (fractional coordinates):
As  0.000  0.000  0.500
As  0.000  0.500  0.000
As  0.500  0.000  0.000
Ir  0.000  0.000  0.000
Se  0.500  0.500  0.500

Computed properties:
SG   Pm-3m



entry two (803 meV/atom below the next structure)



Entry one
A plane-wave DFT calculation with PBE-GGA was carried out for a relaxed structure of SrAsIrSe2.

Cell: 5.574 5.574 5.653 Å, 90.00 90.00 90.00°
Atoms (fractional coordinates):
Sr  0.000  0.000  0.000
As  0.000  0.000  0.500
Ir  0.500  0.500  0.500
Se  0.000  0.500  0.000
Se  0.500  0.000  0.000

Computed properties:
SG   P4/mmm



Entry two
A plane-wave DFT calculation with PBE-GGA was carried out for a relaxed structure of SrAsIrSe2.

Cell: 5.308 5.308 4.552 Å, 90.00 90.00 90.00°
Atoms (fractional coordinates):
Sr  0.000  0.000  0.000
As  0.500  0.500  0.000
Ir  0.500  0.500  0.500
Se  0.000  0.500  0.500
Se  0.500  0.000  0.500

Computed properties:
SG   P4/mmm



entry two (1945 meV/atom below the next structure)



Entry one
A plane-wave DFT calculation with PBE-GGA was carried out for a relaxed structure of TaAsIrSe2.

Cell: 4.870 4.870 4.660 Å, 90.00 90.00 90.00°
Atoms (fractional coordinates):
Ta  0.000  0.000  0.000
As  0.500  0.500  0.000
Ir  0.500  0.500  0.500
Se  0.000  0.500  0.500
Se  0.500  0.000  0.500

Computed properties:
SG   P4/mmm



Entry two
A plane-wave DFT calculation with PBE-GGA was carried out for a relaxed structure of TaAsIrSe2.

Cell: 4.900 4.900 5.032 Å, 90.00 90.00 90.00°
Atoms (fractional coordinates):
Ta  0.000  0.000  0.000
As  0.000  0.000  0.500
Ir  0.500  0.500  0.500
Se  0.000  0.500  0.000
Se  0.500  0.000  0.000

Computed properties:
SG   P4/mmm



entry two (34 meV/atom below the next structure)



Entry one
A plane-wave DFT calculation with PBE-GGA was carried out for a relaxed structure of TlAsIrSe2.

Cell: 5.259 5.259 4.602 Å, 90.00 90.00 90.00°
Atoms (fractional coordinates):
Tl  0.000  0.000  0.000
As  0.500  0.500  0.000
Ir  0.500  0.500  0.500
Se  0.000  0.500  0.500
Se  0.500  0.000  0.500

Computed properties:
SG   P4/mmm



Entry two
A plane-wave DFT calculation with PBE-GGA was carried out for a relaxed structure of TlAsIrSe2.

Cell: 5.242 5.242 5.243 Å, 90.00 90.00 90.00°
Atoms (fractional coordinates):
Tl  0.000  0.000  0.000
As  0.000  0.000  0.500
Ir  0.500  0.500  0.500
Se  0.000  0.500  0.000
Se  0.500  0.000  0.000

Computed properties:
SG   P4/mmm



entry one (1505 meV/atom below the next structure)



Entry one
A plane-wave DFT calculation with PBE-GGA was carried out for a relaxed structure of VAsIrSe2.

Cell: 5.067 5.067 4.549 Å, 90.00 90.00 90.00°
Atoms (fractional coordinates):
V  0.000  0.000  0.000
As  0.500  0.500  0.000
Ir  0.500  0.500  0.500
Se  0.000  0.500  0.500
Se  0.500  0.000  0.500

Computed properties:
SG   P4/mmm



Entry two
A plane-wave DFT calculation with PBE-GGA was carried out for a relaxed structure of VAsIrSe2.

Cell: 4.643 4.643 4.710 Å, 90.00 90.00 90.00°
Atoms (fractional coordinates):
V  0.000  0.000  0.000
As  0.000  0.000  0.500
Ir  0.500  0.500  0.500
Se  0.000  0.500  0.000
Se  0.500  0.000  0.000

Computed properties:
SG   P4/mmm



entry two (114 meV/atom below the next structure)



Entry one
A plane-wave DFT calculation with PBE-GGA was carried out for a relaxed structure of As2IrWSe.

Cell: 4.841 4.841 4.762 Å, 90.00 90.00 90.00°
Atoms (fractional coordinates):
As  0.000  0.500  0.000
As  0.500  0.000  0.000
Ir  0.000  0.000  0.500
W  0.500  0.500  0.000
Se  0.500  0.500  0.500

Computed properties:
SG   P4/mmm



Entry two
A plane-wave DFT calculation with PBE-GGA was carried out for a relaxed structure of As2IrWSe.

Cell: 4.690 4.690 4.902 Å, 90.00 90.00 90.00°
Atoms (fractional coordinates):
As  0.000  0.500  0.000
As  0.500  0.000  0.000
Ir  0.000  0.000  0.000
W  0.500  0.500  0.500
Se  0.000  0.000  0.500

Computed properties:
SG   P4/mmm



entry one (231 meV/atom below the next structure)